First-principles (GGA-PBE) data for a relaxed BaCd2Te2 crystal, as listed in Alexandria.

For the formation energy without anion corrections, the calculation gives -0.73 eV per atom. The value obtained for the mass density is 6.20 Mg/m³. As for the magnetic moment: 0.0 μB per formula unit.

The space group is I4/mmm (No. 139) and the conventional cell measures 5.670, 5.670 and 10.283 Å, with angles of 90.00, 90.00 and 90.00 degrees. Symmetry generates all atoms from Ba at (0.000, 0.000, 0.000), Cd at (0.000, 0.000, 0.368) and Te at (0.000, 0.500, 0.250).



First-principles (GGA-PBE) data for a relaxed Ba2ThCdTe5 crystal, as listed in Alexandria.

For the formation energy without anion corrections, the calculation gives -1.30 eV per atom. The value obtained for the mass density is 6.09 Mg/m³. As for the magnetic moment: 0.0 μB per formula unit.

The space group is Cmc2_1 (No. 36) and the conventional cell measures 4.674, 20.439 and 14.351 Å, with angles of 90.00, 90.00 and 90.00 degrees. Symmetry generates all atoms from Ba at (0.000, 0.111, 0.000), Ba at (0.000, 0.124, 0.632), Th at (0.000, 0.205, 0.332), Cd at (0.000, 0.445, 0.761), Te at (0.000, 0.054, 0.375), Te at (0.000, 0.289, 0.979), Te at (0.000, 0.305, 0.681), Te at (0.000, 0.356, 0.320) and Te at (0.000, 0.498, 0.085).



First-principles (GGA-PBE) data for a relaxed BaTiCd2Te crystal, as listed in Alexandria.

For the formation energy without anion corrections, the calculation gives 1.25 eV per atom. The value obtained for the mass density is 4.45 Mg/m³. As for the magnetic moment: 0.0 μB per formula unit.

The space group is P4/mmm (No. 123) and the conventional cell measures 6.067, 6.067 and 5.453 Å, with angles of 90.00, 90.00 and 90.00 degrees. Symmetry generates all atoms from Ba at (0.000, 0.000, 0.000), Ti at (0.000, 0.000, 0.500), Cd at (0.000, 0.500, 0.000) and Te at (0.500, 0.500, 0.500).



First-principles (GGA-PBE) data for a relaxed BaTh2Cd9 crystal, as listed in Alexandria.

The calculation puts the final energy at -2.256 eV per atom. The value obtained for the mass density is 8.52 Mg/m³. As for the magnetic moment: 0.0 μB per formula unit.

The space group is R-3m (No. 166, hexagonal axes) and the conventional cell measures 6.0659, 6.0659 and 29.6137 Å, with angles of 90.00, 90.00 and 120.00 degrees. Symmetry generates all atoms from Ba at (0.0000, 0.0000, 0.0000), Th at (0.0000, 0.0000, 0.1489), Cd at (0.0000, 0.0000, 0.3355), Cd at (0.0000, 0.0000, 0.5000) and Cd at (0.0069, 0.5034, 0.9147).



First-principles (GGA-PBE) data for a relaxed BaThCd2 crystal, as listed in Alexandria.

The calculation puts the final energy at -2.937 eV per atom. The value obtained for the mass density is 7.54 Mg/m³. As for the magnetic moment: 0.0 μB per formula unit.

The space group is P4/mmm (No. 123) and the conventional cell measures 3.936, 3.936 and 8.444 Å, with angles of 90.00, 90.00 and 90.00 degrees. Symmetry generates all atoms from Ba at (0.000, 0.000, 0.000), Th at (0.000, 0.000, 0.500) and Cd at (0.500, 0.500, 0.283).



First-principles (GGA-PBE) data for a relaxed BaThCd4 crystal, as listed in Alexandria.

The calculation puts the final energy at -2.509 eV per atom. The value obtained for the mass density is 7.40 Mg/m³. As for the magnetic moment: 0.0 μB per formula unit.

The space group is P6/mmm (No. 191) and the conventional cell measures 5.1043, 5.1043 and 8.1482 Å, with angles of 90.00, 90.00 and 120.00 degrees. Symmetry generates all atoms from Ba at (0.0000, 0.0000, 0.0000), Th at (0.0000, 0.0000, 0.5000) and Cd at (0.3333, 0.6667, 0.3019).



First-principles (GGA-PBE) data for a relaxed BaThCd4 crystal, as listed in Alexandria.

The calculation puts the final energy at -2.286 eV per atom. The value obtained for the mass density is 8.24 Mg/m³. As for the magnetic moment: 0.0 μB per formula unit.

The space group is F-43m (No. 216) and the conventional cell measures 8.706, 8.706 and 8.706 Å, with angles of 90.00, 90.00 and 90.00 degrees. Symmetry generates all atoms from Ba at (0.000, 0.000, 0.000), Th at (0.250, 0.250, 0.250) and Cd at (0.124, 0.124, 0.624).



First-principles (GGA-PBE) data for a relaxed BaTi2Cd2 crystal, as listed in Alexandria.

The calculation puts the final energy at -3.722 eV per atom. The value obtained for the mass density is 6.30 Mg/m³. As for the magnetic moment: 2.3 μB per formula unit.

The space group is P4/mbm (No. 127) and the conventional cell measures 8.763, 8.763 and 3.144 Å, with angles of 90.00, 90.00 and 90.00 degrees. Symmetry generates all atoms from Ba at (0.000, 0.000, 0.000), Ti at (0.107, 0.393, 0.000) and Cd at (0.180, 0.680, 0.500).



First-principles (GGA-PBE) data for a relaxed BaTiCd2 crystal, as listed in Alexandria.

The calculation puts the final energy at -2.511 eV per atom. The value obtained for the mass density is 4.78 Mg/m³. As for the magnetic moment: 2.7 μB per formula unit.

The space group is I-42d (No. 122) and the conventional cell measures 5.330, 5.330 and 20.072 Å, with angles of 90.00, 90.00 and 90.00 degrees. Symmetry generates all atoms from Ba at (0.000, 0.000, 0.000), Ti at (0.000, 0.000, 0.500) and Cd at (0.091, 0.250, 0.625).



First-principles (GGA-PBE) data for a relaxed BaTi2Cd crystal, as listed in Alexandria.

The calculation puts the final energy at -3.948 eV per atom. The value obtained for the mass density is 4.66 Mg/m³. As for the magnetic moment: 0.0 μB per formula unit.

The space group is I-42d (No. 122) and the conventional cell measures 4.772, 4.772 and 21.637 Å, with angles of 90.00, 90.00 and 90.00 degrees. Symmetry generates all atoms from Ba at (0.000, 0.000, 0.000), Ti at (0.030, 0.750, 0.625) and Cd at (0.000, 0.000, 0.500).



First-principles (GGA-PBE) data for a relaxed BaTiCd2 crystal, as listed in Alexandria.

The calculation puts the final energy at -2.672 eV per atom. The value obtained for the mass density is 5.93 Mg/m³. As for the magnetic moment: 2.1 μB per formula unit.

The space group is Fm-3m (No. 225) and the conventional cell measures 7.715, 7.715 and 7.715 Å, with angles of 90.00, 90.00 and 90.00 degrees. Symmetry generates all atoms from Ba at (0.000, 0.000, 0.000), Ti at (0.000, 0.000, 0.500) and Cd at (0.250, 0.250, 0.250).



First-principles (GGA-PBE) data for a relaxed BaTl6Cd6 crystal, as listed in Alexandria.

The calculation puts the final energy at -1.755 eV per atom. The value obtained for the mass density is 9.19 Mg/m³. As for the magnetic moment: 0.0 μB per formula unit.

The space group is Immm (No. 71) and the conventional cell measures 6.124, 10.694 and 11.252 Å, with angles of 90.00, 90.00 and 90.00 degrees. Symmetry generates all atoms from Ba at (0.000, 0.000, 0.000), Tl at (0.000, 0.000, 0.354), Tl at (0.000, 0.307, 0.500), Tl at (0.000, 0.350, 0.000), Cd at (0.000, 0.500, 0.274) and Cd at (0.250, 0.250, 0.250).



First-principles (GGA-PBE) data for a relaxed Ba2TlCd crystal, as listed in Alexandria.

The calculation puts the final energy at -1.959 eV per atom. The value obtained for the mass density is 5.60 Mg/m³. As for the magnetic moment: 0.0 μB per formula unit.

The space group is R-3m (No. 166, hexagonal axes) and the conventional cell measures 4.4056, 4.4056 and 31.2772 Å, with angles of 90.00, 90.00 and 120.00 degrees. Symmetry generates all atoms from Ba at (0.0000, 0.0000, 0.2503), Tl at (0.0000, 0.0000, 0.5000) and Cd at (0.0000, 0.0000, 0.0000).



First-principles (GGA-PBE) data for a relaxed Ba6Tl3Cd crystal, as listed in Alexandria.

The calculation puts the final energy at -2.143 eV per atom. The value obtained for the mass density is 5.25 Mg/m³. As for the magnetic moment: 0.0 μB per formula unit.

The space group is P2_1/c (No. 14) and the conventional cell measures 8.784, 9.562 and 13.806 Å, with angles of 90.00, 122.27 and 90.00 degrees. Symmetry generates all atoms from Ba at (0.067, 0.071, 0.263), Ba at (0.229, 0.680, 0.073), Ba at (0.406, 0.165, 0.067), Tl at (0.311, 0.128, 0.754), Tl at (0.500, 0.000, 0.500) and Cd at (0.000, 0.000, 0.000).



First-principles (GGA-PBE) data for a relaxed Ba7Tl2Cd2 crystal, as listed in Alexandria.

The calculation puts the final energy at -1.950 eV per atom. The value obtained for the mass density is 5.00 Mg/m³. As for the magnetic moment: 0.0 μB per formula unit.

The space group is Cmmm (No. 65) and the conventional cell measures 9.070, 13.048 and 8.950 Å, with angles of 90.00, 90.00 and 90.00 degrees. Symmetry generates all atoms from Ba at (0.000, 0.000, 0.000), Ba at (0.000, 0.500, 0.270), Ba at (0.250, 0.250, 0.285), Tl at (0.166, 0.000, 0.500) and Cd at (0.000, 0.296, 0.000).



First-principles (GGA-PBE) data for a relaxed Ba2Tl3Cd2 crystal, as listed in Alexandria.

The calculation puts the final energy at -2.102 eV per atom. The value obtained for the mass density is 7.68 Mg/m³. As for the magnetic moment: 0.0 μB per formula unit.

The space group is Cmcm (No. 63) and the conventional cell measures 5.045, 22.610 and 8.435 Å, with angles of 90.00, 90.00 and 90.00 degrees. Symmetry generates all atoms from Ba at (0.000, 0.059, 0.250), Ba at (0.000, 0.161, 0.750), Tl at (0.000, 0.226, 0.250), Tl at (0.000, 0.440, 0.072) and Cd at (0.000, 0.315, 0.565).



First-principles (GGA-PBE) data for a relaxed Ba2Tl15Cd2 crystal, as listed in Alexandria.

The calculation puts the final energy at -2.240 eV per atom. The value obtained for the mass density is 9.59 Mg/m³. As for the magnetic moment: 0.0 μB per formula unit.

The space group is R-3m (No. 166, hexagonal axes) and the conventional cell measures 11.2208, 11.2208 and 16.9877 Å, with angles of 90.00, 90.00 and 120.00 degrees. Symmetry generates all atoms from Ba at (0.0000, 0.0000, 0.1707), Tl at (0.0000, 0.2925, 0.5000), Tl at (0.0000, 0.5000, 0.0000), Tl at (0.0086, 0.5043, 0.6442) and Cd at (0.0000, 0.0000, 0.4058).



First-principles (GGA-PBE) data for a relaxed BaTlCd2 crystal, as listed in Alexandria.

The calculation puts the final energy at -1.698 eV per atom. The value obtained for the mass density is 6.73 Mg/m³. As for the magnetic moment: 0.0 μB per formula unit.

The space group is P2_1/m (No. 11) and the conventional cell measures 5.060, 8.472 and 6.991 Å, with angles of 90.00, 111.21 and 90.00 degrees. Symmetry generates all atoms from Ba at (0.067, 0.250, 0.135), Tl at (0.378, 0.250, 0.757) and Cd at (0.253, 0.583, 0.506).



First-principles (GGA-PBE) data for a relaxed Ba8TlCd2 crystal, as listed in Alexandria.

The calculation puts the final energy at -1.892 eV per atom. The value obtained for the mass density is 4.89 Mg/m³. As for the magnetic moment: 0.0 μB per formula unit.

The space group is Immm (No. 71) and the conventional cell measures 5.950, 10.052 and 17.350 Å, with angles of 90.00, 90.00 and 90.00 degrees. Symmetry generates all atoms from Ba at (0.000, 0.000, 0.133), Ba at (0.000, 0.220, 0.340), Ba at (0.000, 0.322, 0.000), Tl at (0.000, 0.500, 0.500) and Cd at (0.000, 0.500, 0.190).



First-principles (GGA-PBE) data for a relaxed Ba2TlCd2 crystal, as listed in Alexandria.

The calculation puts the final energy at -1.878 eV per atom. The value obtained for the mass density is 6.21 Mg/m³. As for the magnetic moment: 0.0 μB per formula unit.

The space group is P4/mbm (No. 127) and the conventional cell measures 8.944, 8.944 and 4.703 Å, with angles of 90.00, 90.00 and 90.00 degrees. Symmetry generates all atoms from Ba at (0.183, 0.317, 0.000), Tl at (0.000, 0.000, 0.500) and Cd at (0.117, 0.617, 0.500).



First-principles (GGA-PBE) data for a relaxed BaTl5Cd crystal, as listed in Alexandria.

The calculation puts the final energy at -2.225 eV per atom. The value obtained for the mass density is 9.27 Mg/m³. As for the magnetic moment: 0.0 μB per formula unit.

The space group is P4/mmm (No. 123) and the conventional cell measures 5.296, 5.296 and 8.119 Å, with angles of 90.00, 90.00 and 90.00 degrees. Symmetry generates all atoms from Ba at (0.000, 0.000, 0.000), Tl at (0.000, 0.500, 0.294), Tl at (0.500, 0.500, 0.000) and Cd at (0.000, 0.000, 0.500).



First-principles (GGA-PBE) data for a relaxed Ba6TlCd3 crystal, as listed in Alexandria.

The calculation puts the final energy at -1.916 eV per atom. The value obtained for the mass density is 5.22 Mg/m³. As for the magnetic moment: 0.0 μB per formula unit.

The space group is P2_1/m (No. 11) and the conventional cell measures 10.899, 5.908 and 14.047 Å, with angles of 90.00, 106.12 and 90.00 degrees. Symmetry generates all atoms from Ba at (0.018, 0.250, 0.122), Ba at (0.132, 0.250, 0.691), Ba at (0.237, 0.750, 0.517), Ba at (0.359, 0.750, 0.112), Ba at (0.367, 0.250, 0.359), Ba at (0.388, 0.750, 0.836), Tl at (0.438, 0.250, 0.644), Cd at (0.052, 0.250, 0.391), Cd at (0.162, 0.750, 0.262) and Cd at (0.289, 0.250, 0.962).